# 1
This record from Alexandria describes crystalline Cu2Ge2Pt at its relaxed geometry. The functional is PBE-GGA.

Output
E above lowest polymorph, eV/atom: 0.115
Calculated density, g/cm³: 9.86
Volume, Å³/cell: 79
Calculated total energy, eV/atom: -4.586
Symmetry: I4/mmm

Cell lengths 3.330, 3.330, 7.477 Å; angles 77.13, 77.13, 90.00 degrees
Fractional positions:
Ge (0.398, 0.398, 0.205)
Ge (0.602, 0.602, 0.795)
Cu (0.750, 0.250, 0.500)
Cu (0.250, 0.750, 0.500)
Pt (0.000, 0.000, 0.000)

***

# 2
This record from Alexandria describes crystalline TbPI at its relaxed geometry. The functional is PBE-GGA.

Output
E above lowest polymorph, eV/atom: 0.373
Calculated density, g/cm³: 4.21
Uncorrected formation energy, eV/atom: -0.84
Volume, Å³/cell: 250
Calculated total energy, eV/atom: -4.699
Symmetry: P-1

Cell lengths 4.876, 5.591, 10.177 Å; angles 111.36, 103.51, 90.00 degrees
Fractional positions:
I (0.932, 0.745, 0.865)
I (0.068, 0.255, 0.135)
P (0.216, 0.708, 0.430)
P (0.784, 0.292, 0.570)
Tb (0.784, 0.793, 0.569)
Tb (0.216, 0.207, 0.431)

***

# 3
This record from Alexandria describes crystalline Tb4Y10Sc at its relaxed geometry. The functional is PBE-GGA.

Output
Calculated density, g/cm³: 5.28
Volume, Å³/cell: 494
Calculated total energy, eV/atom: -5.583
Symmetry: I4/m

Cell lengths 10.279, 8.629, 8.629 Å; angles 69.22, 53.45, 53.45 degrees
Fractional positions:
Tb (0.324, 0.742, 0.610)
Tb (0.934, 0.390, 0.742)
Tb (0.066, 0.610, 0.258)
Tb (0.676, 0.258, 0.390)
Y (0.250, 0.500, 0.500)
Y (0.552, 0.322, 0.901)
Y (0.126, 0.099, 0.322)
Y (0.547, 0.901, 0.678)
Y (0.775, 0.678, 0.099)
Y (0.448, 0.678, 0.099)
Y (0.750, 0.500, 0.500)
Y (0.225, 0.322, 0.901)
Y (0.453, 0.099, 0.322)
Y (0.874, 0.901, 0.678)
Sc (0.000, 0.000, 0.000)

***

# 4
This record from Alexandria describes crystalline GdZn3Co at its relaxed geometry. The functional is PBE-GGA.

Output
Calculated density, g/cm³: 7.26
Volume, Å³/cell: 94
Calculated total energy, eV/atom: -5.095
Symmetry: Pm-3m

Cell lengths 4.553, 4.553, 4.553 Å; angles 90.00, 90.00, 90.00 degrees
Each line ends with the local moment (μB).
Fractional positions:
Zn (0.000, 0.500, 0.000)  0.00
Zn (0.000, 0.000, 0.500)  0.00
Zn (0.500, 0.000, 0.000)  0.00
Gd (0.500, 0.500, 0.500)  7.11
Co (0.000, 0.000, 0.000)  0.37

***

# 5
This record from Alexandria describes crystalline YTeP2Br at its relaxed geometry. The functional is PBE-GGA.

Output
Calculated density, g/cm³: 3.60
Uncorrected formation energy, eV/atom: 0.45
Volume, Å³/cell: 165
Calculated total energy, eV/atom: -3.968
Symmetry: P4/mmm

Cell lengths 5.297, 5.883, 5.297 Å; angles 90.00, 90.00, 90.00 degrees
Each line ends with the local moment (μB).
Fractional positions:
Y (0.000, 0.000, 0.000)  0.00
P (0.000, 0.000, 0.500)  0.06
P (0.500, 0.000, 0.000)  0.05
Te (0.000, 0.500, 0.000)  -0.04
Br (0.500, 0.500, 0.500)  -0.02

***

# 6
This record from Alexandria describes crystalline TbTm8Cd6 at its relaxed geometry. The functional is PBE-GGA.

Output
Calculated density, g/cm³: 8.42
Volume, Å³/cell: 431
Calculated total energy, eV/atom: -3.112
Symmetry: R-3

Cell lengths 8.878, 8.878, 8.132 Å; angles 56.91, 56.91, 60.00 degrees
Fractional positions:
Tb (0.000, 0.000, 0.000)
Tm (0.551, 0.217, 0.347)
Tm (0.783, 0.116, 0.653)
Tm (0.116, 0.449, 0.653)
Tm (0.667, 0.667, 0.000)
Tm (0.333, 0.333, 0.000)
Tm (0.884, 0.551, 0.347)
Tm (0.217, 0.884, 0.347)
Tm (0.449, 0.783, 0.653)
Cd (0.389, 0.053, 0.841)
Cd (0.947, 0.283, 0.159)
Cd (0.283, 0.611, 0.159)
Cd (0.717, 0.389, 0.841)
Cd (0.053, 0.717, 0.841)
Cd (0.611, 0.947, 0.159)